VASP calculation (PBE-GGA) on a relaxed structure of Zr2RePt.

Geometry as CIF:
```
data_Zr2RePt
_space_group_name_H-M_alt 'C 1 m 1'
_space_group_IT_number 8
_cell_length_a 10.533
_cell_length_b 2.811
_cell_length_c 5.132
_cell_angle_alpha 90.00
_cell_angle_beta 101.99
_cell_angle_gamma 90.00
loop_
_space_group_symop_operation_xyz
'x,y,z'
'x,-y,z'
'x+1/2,y+1/2,z'
'x+1/2,-y+1/2,z'
loop_
_atom_site_label
_atom_site_fract_x
_atom_site_fract_y
_atom_site_fract_z
Zr1 0.000 0.000 0.000
Zr2 0.204 0.000 0.637
Re1 0.450 0.000 0.485
Pt1 0.253 0.500 0.152
```

Properties
DOS(E_F) in states/eV/cell: 10.71
Volume in Å³/f.u.: 74
DFT total energy in eV/atom: -9.250
Formation enthalpy at 0 K in eV/f.u.: -1.42